Material: MnZnInCu2
Method: DFT, meta-GGA SCAN
State: PBEsol geometry

The structure belongs to space group P4/mmm (No. 123); the cell edges are 4.7228, 4.7228 and 4.7719 Å and the angles 90.00°, 90.00° and 90.00°. The distinct sites, in fractional coordinates, are Mn at (0.0000, 0.0000, 0.0000), Zn at (0.5000, 0.5000, 0.0000), In at (0.5000, 0.5000, 0.5000) and Cu at (0.0000, 0.5000, 0.5000).

For the formation enthalpy at 0 K, the calculation gives 0.90 eV/atom. Its electronic total energy is -18.21 eV/atom.